[1]
Entry from the Alexandria database: Be17CrOs after structural relaxation (PBE).

a = 5.444 Å, b = 5.444 Å, c = 5.444 Å
α = 82.87°, β = 82.87°, γ = 82.87°
Element x y z (fractional)
Be 0.051 0.051 0.051
Be 0.150 0.150 0.655
Be 0.150 0.655 0.150
Be 0.153 0.456 0.847
Be 0.153 0.847 0.456
Be 0.255 0.255 0.255
Be 0.318 0.801 0.801
Be 0.456 0.153 0.847
Be 0.456 0.847 0.153
Be 0.501 0.501 0.997
Be 0.501 0.997 0.501
Be 0.655 0.150 0.150
Be 0.801 0.318 0.801
Be 0.801 0.801 0.318
Be 0.847 0.153 0.456
Be 0.847 0.456 0.153
Be 0.997 0.501 0.501
Cr 0.811 0.811 0.811
Os 0.490 0.490 0.490

E_form = -0.115 eV per atom
VASP energy = -86.39 eV per formula unit
total moment = 2.0 μB/cell

=====

[2]
Entry from the Alexandria database: PrNd4DyTm2 after structural relaxation (PBE).

a = 11.394 Å, b = 5.136 Å, c = 10.285 Å
α = 90.00°, β = 116.97°, γ = 90.00°
Element x y z (fractional)
Pr 0.000 0.000 0.000
Pr 0.500 0.500 0.000
Nd 0.249 0.000 0.873
Nd 0.249 0.500 0.624
Nd 0.251 0.000 0.376
Nd 0.251 0.500 0.127
Nd 0.749 0.000 0.624
Nd 0.749 0.500 0.873
Nd 0.751 0.000 0.127
Nd 0.751 0.500 0.376
Dy 0.000 0.000 0.500
Dy 0.500 0.500 0.500
Tm 0.000 0.500 0.252
Tm 0.000 0.500 0.748
Tm 0.500 0.000 0.252
Tm 0.500 0.000 0.748

E_form = 0.018 eV per atom
VASP energy = -37.25 eV per formula unit
total moment = 0.0 μB/cell

=====

[3]
Entry from the Alexandria database: LaDyYCo after structural relaxation (PBE).

a = 3.530 Å, b = 4.814 Å, c = 13.066 Å
α = 90.00°, β = 90.00°, γ = 90.00°
Element x y z (fractional)
La 0.000 0.000 0.000
La 0.000 0.500 0.500
Dy 0.500 0.000 0.336
Dy 0.500 0.500 0.836
Y 0.500 0.000 0.655
Y 0.500 0.500 0.155
Co 0.000 0.000 0.817
Co 0.000 0.500 0.317

E_form = 0.000 eV per atom
VASP energy = -23.10 eV per formula unit
total moment = 0.0 μB/cell

=====

[4]
Entry from the Alexandria database: LiTe2PdCl after structural relaxation (PBE).

a = 5.602 Å, b = 5.602 Å, c = 4.602 Å
α = 90.00°, β = 90.00°, γ = 90.00°
Element x y z (fractional)
Li 0.000 0.000 0.000
Te 0.000 0.500 0.500
Te 0.500 0.000 0.500
Pd 0.500 0.500 0.000
Cl 0.500 0.500 0.500

formation energy (no corrections) = 335 meV per atom
VASP energy = -13.56 eV per formula unit
total moment = 0.0 μB/cell

=====

[5]
Entry from the Alexandria database: Na2MgTl after structural relaxation (PBE).

a = 5.488 Å, b = 5.488 Å, c = 3.739 Å
α = 90.00°, β = 90.00°, γ = 90.00°
Element x y z (fractional)
Na 0.000 0.500 0.000
Na 0.500 0.000 0.000
Mg 0.000 0.000 0.500
Tl 0.500 0.500 0.500

E_form = 0.016 eV per atom
VASP energy = -6.53 eV per formula unit
total moment = 0.0 μB/cell

=====

[6]
Entry from the Alexandria database: TaMn2Re after structural relaxation (PBE).

a = 2.692 Å, b = 4.323 Å, c = 4.892 Å
α = 90.00°, β = 99.31°, γ = 90.00°
Element x y z (fractional)
Ta 0.000 0.000 0.000
Mn 0.515 0.000 0.495
Mn 0.711 0.500 0.229
Re 0.242 0.500 0.711

relative energy among the computed polymorphs = 66 meV per atom
E_form = 0.043 eV per atom
VASP energy = -42.47 eV per formula unit
total moment = 2.8 μB/cell

=====

[7]
Entry from the Alexandria database: La9Pm2Sm after structural relaxation (PBE).

a = 5.235 Å, b = 5.235 Å, c = 15.688 Å
α = 90.00°, β = 90.00°, γ = 90.00°
Element x y z (fractional)
La 0.000 0.000 0.000
La 0.000 0.000 0.333
La 0.000 0.000 0.667
La 0.000 0.500 0.166
La 0.000 0.500 0.500
La 0.000 0.500 0.834
La 0.500 0.000 0.166
La 0.500 0.000 0.500
La 0.500 0.000 0.834
Pm 0.500 0.500 0.333
Pm 0.500 0.500 0.667
Sm 0.500 0.500 0.000

E_form = 0.005 eV per atom
VASP energy = -58.50 eV per formula unit
total moment = 0.0 μB/cell

=====

[8]
Entry from the Alexandria database: Sc2AlNi after structural relaxation (PBE).

a = 3.234 Å, b = 3.234 Å, c = 25.528 Å
α = 90.00°, β = 90.00°, γ = 120.00°
Element x y z (fractional)
Sc 0.000 0.000 0.000
Sc 0.000 0.000 0.225
Sc 0.333 0.667 0.667
Sc 0.333 0.667 0.892
Sc 0.667 0.333 0.333
Sc 0.667 0.333 0.558
Al 0.000 0.000 0.758
Al 0.333 0.667 0.425
Al 0.667 0.333 0.092
Ni 0.000 0.000 0.486
Ni 0.333 0.667 0.153
Ni 0.667 0.333 0.819

E_form = -0.112 eV per atom
VASP energy = -22.63 eV per formula unit
total moment = 1.3 μB/cell

=====

[9]
Entry from the Alexandria database: Nb2IrPd after structural relaxation (PBE).

a = 4.019 Å, b = 4.019 Å, c = 4.026 Å
α = 90.00°, β = 90.00°, γ = 90.00°
Element x y z (fractional)
Nb 0.000 0.500 0.000
Nb 0.500 0.000 0.000
Ir 0.000 0.000 0.500
Pd 0.500 0.500 0.500

E_form = -0.416 eV per atom
VASP energy = -35.86 eV per formula unit
total moment = 0.0 μB/cell

=====

[10]
Entry from the Alexandria database: Li2CoBi after structural relaxation (PBE).

a = 7.613 Å, b = 7.613 Å, c = 5.133 Å
α = 90.00°, β = 90.00°, γ = 90.00°
Element x y z (fractional)
Li 0.209 0.250 0.125
Li 0.250 0.709 0.375
Li 0.250 0.791 0.875
Li 0.291 0.250 0.625
Li 0.709 0.750 0.625
Li 0.750 0.209 0.875
Li 0.750 0.291 0.375
Li 0.791 0.750 0.125
Co 0.000 0.000 0.000
Co 0.000 0.500 0.250
Co 0.500 0.000 0.750
Co 0.500 0.500 0.500
Bi 0.000 0.000 0.500
Bi 0.000 0.500 0.750
Bi 0.500 0.000 0.250
Bi 0.500 0.500 0.000

E_form = 0.222 eV per atom
VASP energy = -13.93 eV per formula unit
total moment = 6.8 μB/cell

=====

[11]
Entry from the Alexandria database: LiCo2CuN after structural relaxation (PBE).

a = 3.625 Å, b = 3.625 Å, c = 3.945 Å
α = 90.00°, β = 90.00°, γ = 90.00°
Element x y z (fractional)
Li 0.000 0.000 0.000
Co 0.000 0.500 0.500
Co 0.500 0.000 0.500
Cu 0.500 0.500 0.000
N 0.000 0.000 0.500

formation energy (no corrections) = -85 meV per atom
relative energy among the computed polymorphs = 0 meV per atom
VASP energy = -28.97 eV per formula unit
total moment = 0.8 μB/cell

=====

[12]
Entry from the Alexandria database: Nb3TcMo after structural relaxation (PBE).

a = 8.446 Å, b = 8.446 Å, c = 4.556 Å
α = 90.00°, β = 90.00°, γ = 148.66°
Element x y z (fractional)
Nb 0.054 0.946 0.750
Nb 0.250 0.750 0.750
Nb 0.445 0.555 0.750
Nb 0.555 0.445 0.250
Nb 0.750 0.250 0.250
Nb 0.946 0.054 0.250
Tc 0.350 0.650 0.250
Tc 0.650 0.350 0.750
Mo 0.150 0.850 0.250
Mo 0.850 0.150 0.750

relative energy among the computed polymorphs = 0 meV per atom
E_form = -0.236 eV per atom
VASP energy = -52.59 eV per formula unit
total moment = 0.0 μB/cell

=====

[13]
Entry from the Alexandria database: Tm4TlNi after structural relaxation (PBE).

a = 7.243 Å, b = 6.957 Å, c = 6.755 Å
α = 90.00°, β = 93.40°, γ = 90.00°
Element x y z (fractional)
Tm 0.134 0.164 0.179
Tm 0.134 0.336 0.679
Tm 0.312 0.638 0.108
Tm 0.312 0.862 0.608
Tm 0.688 0.138 0.392
Tm 0.688 0.362 0.892
Tm 0.866 0.664 0.321
Tm 0.866 0.836 0.821
Tl 0.500 0.000 0.000
Tl 0.500 0.500 0.500
Ni 0.000 0.000 0.500
Ni 0.000 0.500 0.000

relative energy among the computed polymorphs = 143 meV per atom
E_form = -0.131 eV per atom
VASP energy = -26.82 eV per formula unit
total moment = 0.0 μB/cell

=====

[14]
Entry from the Alexandria database: Ca2Ga3 after structural relaxation (PBE).

a = 6.385 Å, b = 7.387 Å, c = 9.965 Å
α = 90.00°, β = 90.00°, γ = 90.00°
Element x y z (fractional)
Ca 0.133 0.192 0.079
Ca 0.133 0.808 0.579
Ca 0.367 0.308 0.579
Ca 0.367 0.692 0.079
Ca 0.633 0.308 0.921
Ca 0.633 0.692 0.421
Ca 0.867 0.192 0.421
Ca 0.867 0.808 0.921
Ga 0.000 0.146 0.750
Ga 0.000 0.854 0.250
Ga 0.147 0.475 0.845
Ga 0.147 0.525 0.345
Ga 0.353 0.025 0.345
Ga 0.353 0.975 0.845
Ga 0.500 0.354 0.250
Ga 0.500 0.646 0.750
Ga 0.647 0.025 0.155
Ga 0.647 0.975 0.655
Ga 0.853 0.475 0.655
Ga 0.853 0.525 0.155

E_form = -0.433 eV per atom
VASP energy = -15.25 eV per formula unit
total moment = 0.0 μB/cell

=====

[15]
Entry from the Alexandria database: ZrCo2Rh after structural relaxation (PBE).

a = 6.119 Å, b = 6.119 Å, c = 6.119 Å
α = 90.00°, β = 90.00°, γ = 90.00°
Element x y z (fractional)
Zr 0.000 0.000 0.000
Zr 0.000 0.500 0.500
Zr 0.500 0.000 0.500
Zr 0.500 0.500 0.000
Co 0.250 0.250 0.250
Co 0.250 0.250 0.750
Co 0.250 0.750 0.250
Co 0.250 0.750 0.750
Co 0.750 0.250 0.250
Co 0.750 0.250 0.750
Co 0.750 0.750 0.250
Co 0.750 0.750 0.750
Rh 0.000 0.000 0.500
Rh 0.000 0.500 0.000
Rh 0.500 0.000 0.000
Rh 0.500 0.500 0.500

E_form = -0.125 eV per atom
VASP energy = -30.61 eV per formula unit
total moment = 10.2 μB/cell

=====

[16]
Entry from the Alexandria database: YMn2Mo after structural relaxation (PBE).

a = 3.117 Å, b = 4.736 Å, c = 9.259 Å
α = 90.00°, β = 90.00°, γ = 90.00°
Element x y z (fractional)
Y 0.000 0.000 0.000
Y 0.500 0.500 0.500
Mn 0.000 0.000 0.481
Mn 0.000 0.500 0.216
Mn 0.500 0.000 0.716
Mn 0.500 0.500 0.981
Mo 0.000 0.500 0.784
Mo 0.500 0.000 0.284

relative energy among the computed polymorphs = 192 meV per atom
E_form = 0.396 eV per atom
VASP energy = -34.05 eV per formula unit
total moment = 5.7 μB/cell

=====

[17]
Entry from the Alexandria database: Mn2TlPb after structural relaxation (PBE).

a = 3.211 Å, b = 4.060 Å, c = 6.504 Å
α = 90.00°, β = 90.00°, γ = 90.00°
Element x y z (fractional)
Mn 0.000 0.000 0.239
Mn 0.000 0.000 0.761
Tl 0.500 0.500 0.000
Pb 0.500 0.500 0.500

E_form = 0.525 eV per atom
VASP energy = -22.31 eV per formula unit
total moment = 7.8 μB/cell

=====

[18]
Entry from the Alexandria database: RbBr4 after structural relaxation (PBE).

a = 6.671 Å, b = 6.671 Å, c = 6.671 Å
α = 90.00°, β = 90.00°, γ = 90.00°
Element x y z (fractional)
Rb 0.000 0.000 0.000
Br 0.000 0.000 0.500
Br 0.000 0.500 0.000
Br 0.500 0.000 0.000
Br 0.500 0.500 0.500

formation energy (no corrections) = 27 meV per atom
relative energy among the computed polymorphs = 662 meV per atom
VASP energy = -7.52 eV per formula unit
total moment = 3.0 μB/cell

=====

[19]
Entry from the Alexandria database: Be2GePN after structural relaxation (PBE).

a = 3.848 Å, b = 3.848 Å, c = 5.091 Å
α = 90.00°, β = 90.00°, γ = 90.00°
Element x y z (fractional)
Be 0.000 0.500 0.000
Be 0.500 0.000 0.000
Ge 0.000 0.000 0.500
P 0.000 0.000 0.000
N 0.500 0.500 0.500

formation energy (no corrections) = 1219 meV per atom
VASP energy = -19.71 eV per formula unit
total moment = 0.0 μB/cell

=====

[20]
Entry from the Alexandria database: BaCaZn17 after structural relaxation (PBE).

a = 6.959 Å, b = 6.959 Å, c = 6.959 Å
α = 83.20°, β = 83.20°, γ = 83.20°
Element x y z (fractional)
Ba 0.000 0.000 0.000
Ca 0.321 0.321 0.321
Zn 0.011 0.011 0.499
Zn 0.011 0.499 0.011
Zn 0.158 0.661 0.661
Zn 0.316 0.316 0.813
Zn 0.316 0.813 0.316
Zn 0.371 0.657 0.952
Zn 0.371 0.952 0.657
Zn 0.499 0.011 0.011
Zn 0.556 0.556 0.556
Zn 0.657 0.371 0.952
Zn 0.657 0.952 0.371
Zn 0.661 0.158 0.661
Zn 0.661 0.661 0.158
Zn 0.755 0.755 0.755
Zn 0.813 0.316 0.316
Zn 0.952 0.371 0.657
Zn 0.952 0.657 0.371

E_form = -0.151 eV per atom
VASP energy = -28.46 eV per formula unit
total moment = 0.0 μB/cell

=====

[21]
Entry from the Alexandria database: Ce2Pm2Pb3 after structural relaxation (PBE).

a = 6.533 Å, b = 8.144 Å, c = 8.474 Å
α = 90.00°, β = 90.77°, γ = 90.00°
Element x y z (fractional)
Ce 0.064 0.164 0.006
Ce 0.064 0.336 0.506
Ce 0.936 0.664 0.494
Ce 0.936 0.836 0.994
Pm 0.375 0.647 0.835
Pm 0.375 0.853 0.335
Pm 0.625 0.147 0.665
Pm 0.625 0.353 0.165
Pb 0.157 0.519 0.169
Pb 0.157 0.981 0.669
Pb 0.500 0.000 0.000
Pb 0.500 0.500 0.500
Pb 0.843 0.019 0.331
Pb 0.843 0.481 0.831

E_form = -0.367 eV per atom
VASP energy = -35.07 eV per formula unit
total moment = 4.5 μB/cell

=====

[22]
Entry from the Alexandria database: LaP2W after structural relaxation (PBE).

a = 6.667 Å, b = 6.667 Å, c = 6.667 Å
α = 90.00°, β = 90.00°, γ = 90.00°
Element x y z (fractional)
La 0.000 0.000 0.000
La 0.000 0.500 0.500
La 0.500 0.000 0.500
La 0.500 0.500 0.000
P 0.000 0.000 0.500
P 0.000 0.500 0.000
P 0.250 0.250 0.250
P 0.250 0.750 0.750
P 0.500 0.000 0.000
P 0.500 0.500 0.500
P 0.750 0.250 0.750
P 0.750 0.750 0.250
W 0.250 0.250 0.750
W 0.250 0.750 0.250
W 0.750 0.250 0.250
W 0.750 0.750 0.750

relative energy among the computed polymorphs = 1248 meV per atom
E_form = 0.563 eV per atom
VASP energy = -26.45 eV per formula unit
total moment = 0.0 μB/cell

=====

[23]
Entry from the Alexandria database: GdSiP2 after structural relaxation (PBE).

a = 3.467 Å, b = 3.467 Å, c = 24.935 Å
α = 90.00°, β = 90.00°, γ = 120.00°
Element x y z (fractional)
Gd 0.000 0.000 0.000
Gd 0.333 0.667 0.667
Gd 0.667 0.333 0.333
Si 0.000 0.000 0.500
Si 0.333 0.667 0.167
Si 0.667 0.333 0.833
P 0.000 0.000 0.113
P 0.000 0.000 0.887
P 0.333 0.667 0.554
P 0.333 0.667 0.779
P 0.667 0.333 0.221
P 0.667 0.333 0.446

formation energy (no corrections) = 49 meV per atom
VASP energy = -30.13 eV per formula unit
total moment = 22.2 μB/cell

=====

[24]
Entry from the Alexandria database: Cu7NiPd4 after structural relaxation (PBE).

a = 4.174 Å, b = 4.678 Å, c = 8.820 Å
α = 76.51°, β = 76.50°, γ = 89.74°
Element x y z (fractional)
Cu 0.000 0.000 0.000
Cu 0.216 0.890 0.570
Cu 0.290 0.459 0.420
Cu 0.455 0.685 0.089
Cu 0.545 0.315 0.911
Cu 0.710 0.541 0.580
Cu 0.784 0.110 0.430
Ni 0.000 0.500 0.000
Pd 0.140 0.323 0.725
Pd 0.383 0.118 0.225
Pd 0.617 0.882 0.775
Pd 0.860 0.677 0.275

relative energy among the computed polymorphs = 0 meV per atom
E_form = 0.036 eV per atom
VASP energy = -54.79 eV per formula unit
total moment = 0.2 μB/cell

=====

[25]
Entry from the Alexandria database: NiPtBr2 after structural relaxation (PBE).

a = 3.586 Å, b = 3.586 Å, c = 23.200 Å
α = 90.00°, β = 90.00°, γ = 120.00°
Element x y z (fractional)
Ni 0.000 0.000 0.000
Ni 0.333 0.667 0.667
Ni 0.667 0.333 0.333
Pt 0.000 0.000 0.500
Pt 0.333 0.667 0.167
Pt 0.667 0.333 0.833
Br 0.000 0.000 0.395
Br 0.000 0.000 0.605
Br 0.333 0.667 0.062
Br 0.333 0.667 0.271
Br 0.667 0.333 0.729
Br 0.667 0.333 0.938

formation energy (no corrections) = 270 meV per atom
relative energy among the computed polymorphs = 329 meV per atom
VASP energy = -14.09 eV per formula unit
total moment = 4.6 μB/cell